28
Lattice="-5.538 -3.098 -6.102 -1.670 -7.859 -0.846 -7.687 -1.907 1.593" Properties=species:S:1:pos:R:3 comment="YPd2F11, optimized geometry, DFT GGA-PBE" magnetic_moment_mub_per_fu=0.0 raw_formation_energy_mev_per_atom=-1968 pbc="T T T"
F -5.569 -7.413 -4.672
F 0.000 0.000 0.000
F -12.438 -11.454 -4.698
Pd -3.606 -7.380 -1.460
F -5.121 -2.503 0.356
F -6.763 -6.084 0.127
F -11.690 -7.400 -3.898
F -3.205 -5.463 -1.456
F -4.111 -3.486 -3.599
F -7.297 -9.307 -5.392
F -9.326 -5.451 -0.683
Y -11.171 -9.648 -4.016
Y -3.724 -3.216 -1.339
F -2.457 -1.410 -0.656
F -9.553 -5.910 -3.343
F -8.131 -6.779 -5.482
Pd -7.367 -7.949 -4.109
F -10.784 -9.378 -1.755
F -5.341 -6.953 -2.011
Pd -7.528 -4.915 -1.246
F -9.773 -10.360 -5.710
F -6.599 -9.212 -2.823
F -7.447 -6.432 -2.677
F -7.598 -3.556 0.038
F -9.161 -8.577 -3.635
F -8.295 -3.652 -2.531
Pd -11.288 -5.483 -3.895
F -5.734 -4.287 -1.720


8
Lattice="7.879 0.000 0.000 0.000 7.879 0.000 3.939 3.939 2.364" Properties=species:S:1:pos:R:3 comment="YPd2F, optimized geometry, DFT GGA-PBE" relative_energy_mev_per_atom=0 magnetic_moment_mub_per_fu=0.0 raw_formation_energy_mev_per_atom=-1106 pbc="T T T"
F 3.939 3.939 0.000
Pd 9.848 9.402 1.773
Pd 2.416 5.909 0.591
Y 0.000 0.000 0.000
F 3.939 7.879 1.182
Pd 5.909 6.355 1.773
Y 7.879 3.939 1.182
Pd 5.462 1.970 0.591


5
Lattice="-3.520 -2.259 1.567 2.064 -3.853 -0.917 1.816 0.001 4.080" Properties=species:S:1:pos:R:3 comment="YPd3F, optimized geometry, DFT GGA-PBE" relative_energy_mev_per_atom=0 magnetic_moment_mub_per_fu=0.0 raw_formation_energy_mev_per_atom=-483 pbc="T T T"
Pd -1.760 -1.129 0.784
Y 0.180 -3.055 2.365
Pd 0.908 0.001 2.040
F 0.000 0.000 0.000
Pd 1.032 -1.926 -0.459


4
Lattice="1.883 0.000 8.632 -0.941 1.631 8.632 -0.941 -1.631 8.632" Properties=species:S:1:pos:R:3 comment="YPdF2, optimized geometry, DFT GGA-PBE" relative_energy_mev_per_atom=303 magnetic_moment_mub_per_fu=0.5 raw_formation_energy_mev_per_atom=-1834 pbc="T T T"
F 0.000 0.000 3.009
F 0.000 0.000 22.888
Pd 0.000 0.000 0.000
Y 0.000 0.000 12.948


5
Lattice="3.602 0.000 0.000 0.000 3.602 0.000 1.801 1.801 6.703" Properties=species:S:1:pos:R:3 comment="Y2PdF2, optimized geometry, DFT GGA-PBE" magnetic_moment_mub_per_fu=0.0 raw_formation_energy_mev_per_atom=-2454 pbc="T T T"
Pd 0.000 0.000 0.000
Y 1.801 1.801 1.753
Y 3.602 3.602 4.951
F 3.602 1.801 3.352
F 1.801 3.602 3.352


5
Lattice="-1.768 4.776 -0.517 0.471 -0.376 -5.084 -4.781 -1.804 -0.310" Properties=species:S:1:pos:R:3 comment="YPd3F, optimized geometry, DFT GGA-PBE" relative_energy_mev_per_atom=951 magnetic_moment_mub_per_fu=0.0 raw_formation_energy_mev_per_atom=468 pbc="T T T"
F -3.039 1.298 -2.955
Y 0.000 0.000 0.000
Pd -2.390 -0.902 -0.155
Pd 0.236 -0.188 -2.542
Pd -0.884 2.388 -0.258


8
Lattice="4.434 0.000 0.000 0.000 4.434 0.000 2.217 2.217 7.221" Properties=species:S:1:pos:R:3 comment="YPdF2, optimized geometry, DFT GGA-PBE" relative_energy_mev_per_atom=0 magnetic_moment_mub_per_fu=0.0 raw_formation_energy_mev_per_atom=-2137 pbc="T T T"
Pd 0.000 0.000 0.000
Pd 4.434 2.217 3.611
F 5.542 5.101 5.416
F 1.550 3.325 1.805
F 3.325 3.766 5.416
Y 2.217 4.434 3.611
F 2.884 1.108 1.805
Y 2.217 2.217 0.000


4
Lattice="0.000 3.078 3.078 3.078 0.000 3.078 3.078 3.078 0.000" Properties=species:S:1:pos:R:3 comment="YPdF2, optimized geometry, DFT GGA-PBE" relative_energy_mev_per_atom=219 magnetic_moment_mub_per_fu=0.0 raw_formation_energy_mev_per_atom=-1917 pbc="T T T"
F 1.539 1.539 1.539
Pd 3.078 3.078 3.078
F 4.617 4.617 4.617
Y 0.000 0.000 0.000